[1]
Here is an optimized crystal structure of K3Ac3AlTe8 from Alexandria via LeMat-Bulk. Energies are from GGA-PBE.

**N(E_F)**: 1.32 states/eV/atom
**Formation energy without anion corrections**: -1.138 eV per atom
**Total moment**: 0.0 μB per formula unit

```
data_K3Ac3AlTe8
_cell_length_a 16.232
_cell_length_b 9.352
_cell_length_c 10.074
_cell_angle_alpha 90.00
_cell_angle_beta 122.50
_cell_angle_gamma 90.00
_space_group_name_H-M_alt 'C 1 2/m 1'
_space_group_IT_number 12
loop_
_space_group_symop_operation_xyz
'x,y,z'
'-x,-y,-z'
'-x,y,-z'
'x,-y,z'
'x+1/2,y+1/2,z'
'-x+1/2,-y+1/2,-z'
'-x+1/2,y+1/2,-z'
'x+1/2,-y+1/2,z'
loop_
_atom_site_label
_atom_site_fract_x
_atom_site_fract_y
_atom_site_fract_z
K1 0.000 0.000 0.000
K2 0.250 0.250 0.000
Ac1 0.000 0.500 0.500
Ac2 0.250 0.250 0.500
Al1 0.000 0.000 0.500
Te1 0.006 0.218 0.301
Te2 0.211 0.000 0.699
Te3 0.242 0.500 0.726
```

---

[2]
Here is an optimized crystal structure of Pd2Ru2I from Alexandria via LeMat-Bulk. Energies are from GGA-PBE.

**N(E_F)**: 1.93 states/eV/atom
**Formation energy without anion corrections**: 0.632 eV per atom
**Total moment**: 0.2 μB per formula unit

```
data_Pd2Ru2I
_cell_length_a 6.774
_cell_length_b 6.774
_cell_length_c 3.818
_cell_angle_alpha 90.00
_cell_angle_beta 90.00
_cell_angle_gamma 90.00
_space_group_name_H-M_alt 'P 4/m b m'
_space_group_IT_number 127
_space_group_name_Hall '-P 4 2ab'
loop_
_atom_site_label
_atom_site_fract_x
_atom_site_fract_y
_atom_site_fract_z
Pd1 0.160 0.340 0.000
Ru1 0.130 0.630 0.500
I1 0.000 0.000 0.500
```

---

[3]
Here is an optimized crystal structure of Sr3HfB2O8 from Alexandria via LeMat-Bulk. Energies are from GGA-PBE.

**N(E_F)**: 0.00 states/eV/atom
**Formation energy without anion corrections**: -2.904 eV per atom
**Total moment**: 0.0 μB per formula unit

```
data_Sr3HfB2O8
_cell_length_a 5.3516
_cell_length_b 5.3516
_cell_length_c 6.9197
_cell_angle_alpha 90.00
_cell_angle_beta 90.00
_cell_angle_gamma 120.00
_space_group_name_H-M_alt 'P -3 m 1'
_space_group_IT_number 164
_space_group_name_Hall '-P 3 2"'
loop_
_atom_site_label
_atom_site_fract_x
_atom_site_fract_y
_atom_site_fract_z
Sr1 0.0000 0.0000 0.0000
Sr2 0.3333 0.6667 0.6975
Hf1 0.0000 0.0000 0.5000
B1 0.3333 0.6667 0.2357
O1 0.1801 0.3603 0.3230
O2 0.3333 0.6667 0.0336
```

---

[4]
Here is an optimized crystal structure of TbGaHgPb from Alexandria via LeMat-Bulk. Energies are from GGA-PBE.

**N(E_F)**: 0.69 states/eV/atom
**Total moment**: 0.0 μB per formula unit
**Calculated formation energy**: -215 meV/atom

```
data_TbGaHgPb
_cell_length_a 7.430
_cell_length_b 7.430
_cell_length_c 7.430
_cell_angle_alpha 90.00
_cell_angle_beta 90.00
_cell_angle_gamma 90.00
_space_group_name_H-M_alt 'F -4 3 m'
_space_group_IT_number 216
_space_group_name_Hall 'F -4 2 3'
loop_
_atom_site_label
_atom_site_fract_x
_atom_site_fract_y
_atom_site_fract_z
Tb1 0.000 0.000 0.000
Ga1 0.250 0.250 0.750
Hg1 0.250 0.250 0.250
Pb1 0.000 0.000 0.500
```

---

[5]
Here is an optimized crystal structure of Hf2ScPaC4 from Alexandria via LeMat-Bulk. Energies are from GGA-PBE.

**N(E_F)**: 0.17 states/eV/atom
**Total moment**: 0.0 μB per formula unit
**Calculated formation energy**: -658 meV/atom

```
data_Hf2ScPaC4
_cell_length_a 5.826
_cell_length_b 3.379
_cell_length_c 5.920
_cell_angle_alpha 90.00
_cell_angle_beta 109.10
_cell_angle_gamma 90.00
_space_group_name_H-M_alt 'P 1 2/m 1'
_space_group_IT_number 10
loop_
_space_group_symop_operation_xyz
'x,y,z'
'-x,-y,-z'
'-x,y,-z'
'x,-y,z'
loop_
_atom_site_label
_atom_site_fract_x
_atom_site_fract_y
_atom_site_fract_z
Hf1 0.000 0.000 0.000
Hf2 0.500 0.500 0.000
Sc1 0.000 0.500 0.500
Pa1 0.500 0.000 0.500
C1 0.246 0.500 0.236
C2 0.254 0.000 0.758
```

---

[6]
Here is an optimized crystal structure of PmTh2UC4 from Alexandria via LeMat-Bulk. Energies are from GGA-PBE.

**N(E_F)**: 0.74 states/eV/atom
**Total moment**: 0.0 μB per formula unit
**Calculated formation energy**: -164 meV/atom

```
data_PmTh2UC4
_cell_length_a 6.367
_cell_length_b 3.707
_cell_length_c 6.388
_cell_angle_alpha 90.00
_cell_angle_beta 109.30
_cell_angle_gamma 90.00
_space_group_name_H-M_alt 'P 1 2/m 1'
_space_group_IT_number 10
loop_
_space_group_symop_operation_xyz
'x,y,z'
'-x,-y,-z'
'-x,y,-z'
'x,-y,z'
loop_
_atom_site_label
_atom_site_fract_x
_atom_site_fract_y
_atom_site_fract_z
Pm1 0.000 0.000 0.000
Th1 0.000 0.500 0.500
Th2 0.500 0.000 0.500
U1 0.500 0.500 0.000
C1 0.276 0.000 0.772
C2 0.278 0.500 0.232
```

---

no.,calculated total energy (eV per cell)
1,-123.14
2,-54.65
3,-108.67
4,-50.11
5,-77.90
6,-69.09